Material: Fe2AgPb
Method: DFT, PBE
State: relaxed

## Properties
Calculated volume   18.23 Å³/atom
Calculated density   9.7 g/cm3
Energy of formation   528 meV/atom

```
data_Fe2AgPb
_cell_length_a 9.3803
_cell_length_b 3.0882
_cell_length_c 5.2232
_cell_angle_alpha 90.00
_cell_angle_beta 105.44
_cell_angle_gamma 90.00
_symmetry_space_group_name_H-M 'C 1 2/m 1'
_symmetry_Int_Tables_number 12
loop_
_symmetry_equiv_pos_as_xyz
'x,y,z'
'-x,-y,-z'
'-x,y,-z'
'x,-y,z'
'x+1/2,y+1/2,z'
'-x+1/2,-y+1/2,-z'
'-x+1/2,y+1/2,-z'
'x+1/2,-y+1/2,z'
loop_
_atom_site_label
_atom_site_type_symbol
_atom_site_fract_x
_atom_site_fract_y
_atom_site_fract_z
_atom_site_occupancy
Fe1 Fe 0.2497 0.0000 0.1799 1
Ag1 Ag 0.0000 0.5000 0.0000 1
Pb1 Pb 0.0000 0.0000 0.5000 1
```